DFT (PBE-GGA) results for a relaxed structure of TiBeCd.

- Energy above the most stable polymorph in this dataset: 0 meV/atom
- Magnetic moment: 0.000 μB per formula unit
- Electronic total energy: -12.8 eV per formula unit
- Formation energy from the elements: -0.08 eV/atom
- SG: Cmcm

Lattice parameters (Å, degrees): 8.0907 8.0907 3.3312 90.00 90.00 154.50
Positions (direct):
Ti (0.0752, 0.9248, 0.7500)
Ti (0.9248, 0.0752, 0.2500)
Be (0.4620, 0.5380, 0.7500)
Be (0.5380, 0.4620, 0.2500)
Cd (0.3039, 0.6961, 0.7500)
Cd (0.6961, 0.3039, 0.2500)